Entry 1:
Density functional theory data (PBE) for an optimized crystal structure of Gd3TeS2.

Cell: 4.083 4.083 10.106 Å, 90.00 90.00 120.00°
Fractional coordinates of all 6 atoms:
1 Gd 0.667 0.333 0.204
2 Gd 0.000 0.000 0.500
3 Gd 0.333 0.667 0.796
4 S 0.333 0.667 0.347
5 S 0.667 0.333 0.653
6 Te 0.000 0.000 0.000

Summary:
The calculation puts the final energy at -0.2208 Ha/atom.

=====

Entry 2:
Density functional theory data (PBE) for an optimized crystal structure of Gd2TeS2.

Cell: 4.534 4.534 7.660 Å, 90.00 90.00 120.00°
Fractional coordinates of all 5 atoms:
1 Gd 0.333 0.667 0.269
2 Gd 0.667 0.333 0.731
3 S 0.667 0.333 0.364
4 S 0.333 0.667 0.636
5 Te 0.000 0.000 0.000

Summary:
The calculation puts the final energy at -0.2209 Ha/atom.

=====

Entry 3:
Density functional theory data (PBE) for an optimized crystal structure of GdTlZnS3.

Cell: 8.064 4.002 10.313 Å, 90.00 108.78 90.00°
Fractional coordinates of all 12 atoms:
1 Gd 0.692 0.250 0.138
2 Gd 0.308 0.750 0.862
3 S 0.454 0.750 0.139
4 S 0.937 0.750 0.170
5 S 0.785 0.250 0.437
6 S 0.215 0.750 0.563
7 S 0.063 0.250 0.830
8 S 0.546 0.250 0.861
9 Tl 0.271 0.250 0.286
10 Tl 0.729 0.750 0.714
11 Zn 0.925 0.750 0.392
12 Zn 0.075 0.250 0.608

Summary:
The distance to the lowest polymorph of the same formula is 20 meV/atom.